## AcLa3Sm7 (GGA-PBE)

Data for a relaxed structure of AcLa3Sm7.

Summary:
formation energy from the elements	0.253	eV/atom
E above lowest polymorph	0.057	eV per atom
total moment	0.33	Bohr magnetons per cell
volume	405.0	Å³ per cell
space-group type	C2/m (12)

Geometry as POSCAR:
```
AcLa3Sm7
1.0
-0.3208 -5.3973 -2.9302
7.9221 3.4493 -0.7821
2.6031 -1.1114 8.2011
La Sm Ac
3 7 1
Cartesian
6.7784 2.4686 1.1496
-0.1604 -2.6987 -1.4651
3.7468 -0.1307 6.2695
7.2051 -0.6123 6.7671
2.9993 -2.4471 -2.2782
5.2626 1.1690 3.7095
8.1917 -2.4601 3.6014
0.9290 -4.2222 1.2182
9.2753 1.1628 3.2706
2.0126 -0.5993 0.8874
5.1022 -1.5297 2.2444
```